No. 1
IrSe | GGA-PBE | relaxed

Output
Calculated total energy = -5.708 eV per atom
ρ = 12.99 Mg/m³
M_tot = 0.1 Bohr magnetons per cell

Lattice parameters (Å, degrees): 5.1764 5.1764 5.1764 90.00 90.00 90.00
Space group Fm-3m (No. 225)
Inequivalent atoms, fractional coordinates:
Ir 0.0000 0.0000 0.0000 [4 per cell]
Se 0.0000 0.0000 0.5000 [4 per cell]

***

No. 2
Ir2Se3 | GGA-PBE | relaxed

Output
Calculated total energy = -5.780 eV per atom
ρ = 10.36 Mg/m³
M_tot = 0.0 Bohr magnetons per cell

Lattice parameters (Å, degrees): 6.5063 6.5063 10.8609 90.00 90.00 120.00
Space group P-31c (No. 163)
Inequivalent atoms, fractional coordinates:
Ir 0.0000 0.0000 0.0000 [2 per cell]
Ir 0.3333 0.6667 0.0109 [4 per cell]
Ir 0.3333 0.6667 0.7500 [2 per cell]
Se 0.0070 0.3352 0.8820 [12 per cell]

***

No. 3
Sn4IrSe3 | GGA-PBE | relaxed

Output
Calculated total energy = -4.676 eV per atom
ρ = 7.63 Mg/m³
M_tot = 0.0 Bohr magnetons per cell

Lattice parameters (Å, degrees): 3.9293 3.9229 12.9117 90.00 98.62 90.00
Space group Pm (No. 6)
Inequivalent atoms, fractional coordinates:
Sn 0.0000 0.0000 0.0000 [1 per cell]
Sn 0.1292 0.5000 0.2918 [1 per cell]
Sn 0.3872 0.5000 0.7978 [1 per cell]
Sn 0.7460 0.0000 0.5852 [1 per cell]
Ir 0.8845 0.0000 0.7942 [1 per cell]
Se 0.2294 0.5000 0.5262 [1 per cell]
Se 0.5359 0.5000 0.0720 [1 per cell]
Se 0.6595 0.0000 0.3581 [1 per cell]

***

No. 4
Sn8Ir2Se | GGA-PBE | relaxed

Output
Calculated total energy = -4.889 eV per atom
ρ = 8.62 Mg/m³
M_tot = 0.0 Bohr magnetons per cell

Lattice parameters (Å, degrees): 10.4240 10.4240 10.0221 90.00 90.00 90.00
Space group P4_2/mnm (No. 136)
Inequivalent atoms, fractional coordinates:
Sn 0.0000 0.0000 0.1720 [4 per cell]
Sn 0.0207 0.2933 0.3123 [16 per cell]
Sn 0.1034 0.8966 0.5000 [4 per cell]
Sn 0.1752 0.1752 0.0000 [4 per cell]
Sn 0.1764 0.8236 0.0000 [4 per cell]
Ir 0.2325 0.7675 0.2575 [8 per cell]
Se 0.0000 0.5000 0.0000 [4 per cell]

***

No. 5
Te2Ir3Se4 | GGA-PBE | relaxed

Output
Excess energy over the best structure of this formula in the dataset = 0 meV per atom
ρ = 10.05 Mg/m³
M_tot = 0.0 Bohr magnetons per cell

Lattice parameters (Å, degrees): 19.1946 3.8744 5.0990 90.00 90.18 90.00
Space group C2/m (No. 12)
Inequivalent atoms, fractional coordinates:
Te 0.2181 0.0000 0.2482 [4 per cell]
Ir 0.0000 0.0000 0.0000 [2 per cell]
Ir 0.1548 0.5000 0.5054 [4 per cell]
Se 0.0412 0.5000 0.2790 [4 per cell]
Se 0.1176 0.0000 0.7858 [4 per cell]

***

No. 6
Te2Ir3Se4 | GGA-PBE | relaxed

Output
Excess energy over the best structure of this formula in the dataset = 45 meV per atom
ρ = 9.77 Mg/m³
M_tot = 0.0 Bohr magnetons per cell

Lattice parameters (Å, degrees): 19.0902 3.8934 5.2578 90.00 93.34 90.00
Space group C2/m (No. 12)
Inequivalent atoms, fractional coordinates:
Te 0.1233 0.0000 0.2931 [4 per cell]
Ir 0.0000 0.0000 0.5000 [2 per cell]
Ir 0.1595 0.5000 0.9999 [4 per cell]
Se 0.0416 0.5000 0.7772 [4 per cell]
Se 0.2158 0.0000 0.7734 [4 per cell]

***

No. 7
Te2Ir3Se4 | GGA-PBE | relaxed

Output
Excess energy over the best structure of this formula in the dataset = 6 meV per atom
ρ = 9.77 Mg/m³
M_tot = 0.0 Bohr magnetons per cell

Lattice parameters (Å, degrees): 19.1409 3.8820 5.2549 90.00 92.42 90.00
Space group C2/m (No. 12)
Inequivalent atoms, fractional coordinates:
Te 0.0472 0.0000 0.2184 [4 per cell]
Ir 0.0000 0.5000 0.5000 [2 per cell]
Ir 0.1633 0.0000 0.9833 [4 per cell]
Se 0.1239 0.5000 0.7084 [4 per cell]
Se 0.2197 0.5000 0.2257 [4 per cell]

***

No. 8
TeIr2Se2 | GGA-PBE | relaxed

Output
Calculated total energy = -5.497 eV per atom
ρ = 8.35 Mg/m³
M_tot = 0.0 Bohr magnetons per cell

Lattice parameters (Å, degrees): 7.7126 7.7126 8.9546 90.00 90.00 90.00
Space group I4_1md (No. 109)
Inequivalent atoms, fractional coordinates:
Te 0.0000 0.0000 0.0000 [4 per cell]
Ir 0.0000 0.1768 0.3436 [8 per cell]
Se 0.0000 0.2423 0.6024 [8 per cell]

***

No. 9
Tl3IrSe4 | GGA-PBE | relaxed

Output
Calculated total energy = -3.887 eV per atom
ρ = 7.72 Mg/m³
M_tot = 0.0 Bohr magnetons per cell

Lattice parameters (Å, degrees): 7.8416 7.8416 7.8416 90.00 90.00 90.00
Space group I-43m (No. 217)
Inequivalent atoms, fractional coordinates:
Tl 0.0000 0.0000 0.5000 [6 per cell]
Ir 0.0000 0.0000 0.0000 [2 per cell]
Se 0.1733 0.1733 0.8267 [8 per cell]

***

No. 10
Tl3IrSe | GGA-PBE | relaxed

Output
Calculated total energy = -2.734 eV per atom
ρ = 9.22 Mg/m³
M_tot = 1.1 Bohr magnetons per cell

Lattice parameters (Å, degrees): 5.4213 5.4213 5.4213 90.00 90.00 90.00
Space group Pm-3m (No. 221)
Inequivalent atoms, fractional coordinates:
Tl 0.0000 0.0000 0.5000 [3 per cell]
Ir 0.5000 0.5000 0.5000 [1 per cell]
Se 0.0000 0.0000 0.0000 [1 per cell]

***

No. 11
TlIr3Se5 | GGA-PBE | relaxed

Output
Calculated total energy = -5.166 eV per atom
ρ = 9.36 Mg/m³
M_tot = 0.0 Bohr magnetons per cell

Lattice parameters (Å, degrees): 5.8172 5.8172 7.1216 90.00 90.00 120.00
Space group P6/mmm (No. 191)
Inequivalent atoms, fractional coordinates:
Tl 0.0000 0.0000 0.0000 [1 per cell]
Ir 0.0000 0.5000 0.5000 [3 per cell]
Se 0.0000 0.0000 0.5000 [1 per cell]
Se 0.3333 0.6667 0.2410 [4 per cell]

***

No. 12
YIr2Se4 | GGA-PBE | relaxed

Output
Calculated total energy = -5.958 eV per atom
ρ = 8.01 Mg/m³
M_tot = 4.4 Bohr magnetons per cell

Lattice parameters (Å, degrees): 10.9389 10.9389 10.9389 90.00 90.00 90.00
Space group Fd-3m (No. 227, origin choice 2)
Inequivalent atoms, fractional coordinates:
Y 0.1250 0.1250 0.1250 [8 per cell]
Ir 0.0000 0.0000 0.5000 [16 per cell]
Se 0.0200 0.0200 0.7300 [32 per cell]